1.
First-principles (GGA-PBE) data for YBi2Pt after structural relaxation, as listed in Alexandria.

Summary:
As for the calculated volume: 100 Å³/f.u. The value obtained for the total magnetization is 0.0 μB/cell. As for the energy above the lowest structure with this stoichiometry: 0.079 eV/atom. Its formation energy is -0.2275 eV/atom.

Cell: 7.375 7.375 7.375 Å, 90.00 90.00 90.00°
Space group Fm-3m (No. 225)
Asymmetric unit:
Y 0.000 0.000 0.000 (multiplicity 4)
Bi 0.250 0.250 0.250 (multiplicity 8)
Pt 0.000 0.000 0.500 (multiplicity 4)

2.
First-principles (GGA-PBE) data for YBiPt3 after structural relaxation, as listed in Alexandria.

Summary:
As for the calculated volume: 133 Å³/f.u. The value obtained for the total magnetization is 0.0 μB/cell. As for the energy above the lowest structure with this stoichiometry: 0.344 eV/atom. Its formation energy is 0.5761 eV/atom.

Cell: 5.108 5.108 5.108 Å, 90.00 90.00 90.00°
Space group Pm-3m (No. 221)
Asymmetric unit:
Y 0.000 0.000 0.000 (multiplicity 1)
Bi 0.500 0.500 0.500 (multiplicity 1)
Pt 0.000 0.000 0.500 (multiplicity 3)